Entry 1:
DFT (PBE) results for a geometry-optimized BPRhC structure.

Lattice parameters (Å, degrees): 5.1282 2.9555 5.8960 90.00 108.13 90.00
Element x y z (fractional)
B (0.0000, 0.0000, 0.0000)
B (0.5000, 0.5000, 0.0000)
P (0.1991, 0.0000, 0.6291)
P (0.6991, 0.5000, 0.6291)
Rh (0.4406, 0.0000, 0.3712)
Rh (0.9406, 0.5000, 0.3712)
C (0.3195, 0.0000, 0.9584)
C (0.8195, 0.5000, 0.9584)

Output
DFT formation energy = 130 meV/atom
relative energy among the computed polymorphs = 82 meV/atom

Entry 2:
DFT (PBE) results for a geometry-optimized Ce2Si3Rh structure.

Lattice parameters (Å, degrees): 8.2020 8.1926 5.8124 69.32 69.15 41.53
Element x y z (fractional)
Ce (0.2473, 0.7527, 0.7527)
Ce (0.2500, 0.2500, 0.2500)
Ce (0.7500, 0.7500, 0.7500)
Ce (0.7527, 0.2473, 0.2473)
Si (0.1698, 0.6646, 0.3354)
Si (0.3350, 0.3350, 0.6650)
Si (0.3354, 0.8302, 0.1698)
Si (0.6646, 0.1698, 0.8302)
Si (0.6650, 0.6650, 0.3350)
Si (0.8302, 0.3354, 0.6646)
Rh (0.1667, 0.1667, 0.8333)
Rh (0.8333, 0.8333, 0.1667)

Output
relative energy among the computed polymorphs = 11 meV/atom

Entry 3:
DFT (PBE) results for a geometry-optimized ScAlSb2 structure.

Lattice parameters (Å, degrees): 7.2354 7.2354 7.2354 90.00 90.00 90.00
Element x y z (fractional)
Sc (0.0000, 0.0000, 0.0000)
Sc (0.0000, 0.5000, 0.5000)
Sc (0.5000, 0.0000, 0.5000)
Sc (0.5000, 0.5000, 0.0000)
Al (0.0000, 0.0000, 0.5000)
Al (0.0000, 0.5000, 0.0000)
Al (0.5000, 0.0000, 0.0000)
Al (0.5000, 0.5000, 0.5000)
Sb (0.2500, 0.2500, 0.2500)
Sb (0.2500, 0.2500, 0.7500)
Sb (0.2500, 0.7500, 0.2500)
Sb (0.2500, 0.7500, 0.7500)
Sb (0.7500, 0.2500, 0.2500)
Sb (0.7500, 0.2500, 0.7500)
Sb (0.7500, 0.7500, 0.2500)
Sb (0.7500, 0.7500, 0.7500)

Output
relative energy among the computed polymorphs = 298 meV/atom

Entry 4:
DFT (PBE) results for a geometry-optimized Ti4AlHg structure.

Lattice parameters (Å, degrees): 10.3576 14.0975 2.8535 90.00 90.00 90.00
Element x y z (fractional)
Ti (0.0485, 0.2461, 0.0000)
Ti (0.0709, 0.9218, 0.0000)
Ti (0.0815, 0.5749, 0.0000)
Ti (0.2005, 0.7407, 0.0000)
Ti (0.2995, 0.2407, 0.0000)
Ti (0.4185, 0.0749, 0.0000)
Ti (0.4291, 0.4218, 0.0000)
Ti (0.4515, 0.7461, 0.0000)
Ti (0.5485, 0.2539, 0.0000)
Ti (0.5709, 0.5782, 0.0000)
Ti (0.5815, 0.9251, 0.0000)
Ti (0.7005, 0.7593, 0.0000)
Ti (0.7995, 0.2593, 0.0000)
Ti (0.9185, 0.4251, 0.0000)
Ti (0.9291, 0.0782, 0.0000)
Ti (0.9515, 0.7539, 0.0000)
Al (0.1686, 0.0911, 0.5000)
Al (0.3314, 0.5911, 0.5000)
Al (0.6686, 0.4089, 0.5000)
Al (0.8314, 0.9089, 0.5000)
Hg (0.1770, 0.4073, 0.5000)
Hg (0.3230, 0.9073, 0.5000)
Hg (0.6770, 0.0927, 0.5000)
Hg (0.8230, 0.5927, 0.5000)

Output
DFT formation energy = -25 meV/atom

Entry 5:
DFT (PBE) results for a geometry-optimized ScZn2As structure.

Lattice parameters (Å, degrees): 7.6704 7.6704 5.2169 90.00 90.00 90.00
Element x y z (fractional)
Sc (0.0000, 0.0000, 0.0000)
Sc (0.0000, 0.5000, 0.2500)
Sc (0.5000, 0.0000, 0.7500)
Sc (0.5000, 0.5000, 0.5000)
Zn (0.2105, 0.2500, 0.6250)
Zn (0.2500, 0.7105, 0.8750)
Zn (0.2500, 0.7895, 0.3750)
Zn (0.2895, 0.2500, 0.1250)
Zn (0.7105, 0.7500, 0.1250)
Zn (0.7500, 0.2105, 0.3750)
Zn (0.7500, 0.2895, 0.8750)
Zn (0.7895, 0.7500, 0.6250)
As (0.0000, 0.0000, 0.5000)
As (0.0000, 0.5000, 0.7500)
As (0.5000, 0.0000, 0.2500)
As (0.5000, 0.5000, 0.0000)

Output
DFT formation energy = -330 meV/atom

Entry 6:
DFT (PBE) results for a geometry-optimized CeNi2Ge4 structure.

Lattice parameters (Å, degrees): 17.9433 4.0815 6.4855 90.00 90.00 90.00
Element x y z (fractional)
Ce (0.1383, 0.2500, 0.0346)
Ce (0.3617, 0.7500, 0.5346)
Ce (0.6383, 0.2500, 0.4654)
Ce (0.8617, 0.7500, 0.9654)
Ni (0.0322, 0.7500, 0.7423)
Ni (0.2057, 0.2500, 0.5146)
Ni (0.2943, 0.7500, 0.0146)
Ni (0.4678, 0.2500, 0.2423)
Ni (0.5322, 0.7500, 0.7577)
Ni (0.7057, 0.2500, 0.9854)
Ni (0.7943, 0.7500, 0.4854)
Ni (0.9678, 0.2500, 0.2577)
Ge (0.0256, 0.7500, 0.1379)
Ge (0.0677, 0.2500, 0.5204)
Ge (0.1785, 0.7500, 0.7185)
Ge (0.2046, 0.7500, 0.3092)
Ge (0.2954, 0.2500, 0.8092)
Ge (0.3215, 0.2500, 0.2185)
Ge (0.4323, 0.7500, 0.0204)
Ge (0.4744, 0.2500, 0.6379)
Ge (0.5256, 0.7500, 0.3621)
Ge (0.5677, 0.2500, 0.9796)
Ge (0.6785, 0.7500, 0.7815)
Ge (0.7046, 0.7500, 0.1908)
Ge (0.7954, 0.2500, 0.6908)
Ge (0.8215, 0.2500, 0.2815)
Ge (0.9323, 0.7500, 0.4796)
Ge (0.9744, 0.2500, 0.8621)

Output
DFT formation energy = -449 meV/atom